[1]
This record from the Open Quantum Materials Database describes crystalline La3InHg2PdAu2 at its relaxed geometry. The functional is PBE.

Results
Total DFT energy (no corrections), eV per atom: -4.052

abc: 4.0310 8.0818 8.0818
angles: 120.73 90.00 90.00
Fractional positions:
La1 0.0000 0.0000 0.0000
La2 0.0000 0.3861 0.7927
La3 0.0000 0.7927 0.3861
In1 0.5000 0.6420 0.6420
Hg1 0.5000 0.1349 0.3947
Hg2 0.5000 0.3947 0.1349
Pd1 0.0000 0.4022 0.4022
Au1 0.5000 0.0489 0.7241
Au2 0.5000 0.7241 0.0489

[2]
This record from the Open Quantum Materials Database describes crystalline Li2Mg2InHgAu2 at its relaxed geometry. The functional is PBE.

Results
Total DFT energy (no corrections), eV per atom: -2.491

abc: 4.6832 4.6832 6.6528
angles: 90.00 90.00 90.00
Fractional positions:
Li1 0.0000 0.5000 0.2425
Li2 0.5000 0.0000 0.7575
Mg1 0.0000 0.0000 0.0000
Mg2 0.5000 0.5000 0.5000
In1 0.0000 0.0000 0.5000
Hg1 0.5000 0.5000 0.0000
Au1 0.0000 0.5000 0.7395
Au2 0.5000 0.0000 0.2605

[3]
This record from the Open Quantum Materials Database describes crystalline Pr3In2NiHgAu2 at its relaxed geometry. The functional is PBE.

Results
Total DFT energy (no corrections), eV per atom: -4.203

abc: 4.0653 7.8560 7.8560
angles: 119.57 90.00 90.00
Fractional positions:
Pr1 0.0000 0.0000 0.0000
Pr2 0.0000 0.1889 0.5848
Pr3 0.0000 0.5848 0.1889
In1 0.5000 0.5929 0.8303
In2 0.5000 0.8303 0.5929
Ni1 0.0000 0.6038 0.6038
Hg1 0.5000 0.3468 0.3468
Au1 0.5000 0.2559 0.9145
Au2 0.5000 0.9145 0.2559

[4]
This record from the Open Quantum Materials Database describes crystalline Pr3InHg2PdAu2 at its relaxed geometry. The functional is PBE.

Results
Total DFT energy (no corrections), eV per atom: -3.960

abc: 4.0034 8.0201 8.0201
angles: 120.66 90.00 90.00
Fractional positions:
Pr1 0.0000 0.0000 0.0000
Pr2 0.0000 0.3861 0.7927
Pr3 0.0000 0.7927 0.3861
In1 0.5000 0.6421 0.6421
Hg1 0.5000 0.1347 0.3947
Hg2 0.5000 0.3947 0.1347
Pd1 0.0000 0.4020 0.4020
Au1 0.5000 0.0489 0.7241
Au2 0.5000 0.7241 0.0489